1.
A relaxed structure of TcAsPt2, computed with GGA-PBE.

The structure in CIF format:
```
data_TcAsPt2
_cell_length_a 3.910
_cell_length_b 2.902
_cell_length_c 10.974
_cell_angle_alpha 90.00
_cell_angle_beta 90.00
_cell_angle_gamma 90.00
_symmetry_space_group_name_H-M 'A m m 2'
_symmetry_Int_Tables_number 38
loop_
_symmetry_equiv_pos_as_xyz
'x,y,z'
'-x,-y,z'
'-x,y,z'
'x,-y,z'
'x,y+1/2,z+1/2'
'-x,-y+1/2,z+1/2'
'-x,y+1/2,z+1/2'
'x,-y+1/2,z+1/2'
loop_
_atom_site_label
_atom_site_fract_x
_atom_site_fract_y
_atom_site_fract_z
_atom_site_occupancy
Tc1 0.000 0.000 0.000 1
As1 0.500 0.000 0.584 1
Pt1 0.000 0.000 0.730 1
Pt2 0.500 0.000 0.358 1
```

Calculated values
- Fermi-level density of states: 9.52 states/eV per cell
- Formation energy: -0.16 eV/f.u.
- Size of the total moment: 0.00 μB/f.u.

2.
A relaxed structure of Ti2NbGe, computed with GGA-PBE.

The structure in CIF format:
```
data_Ti2NbGe
_cell_length_a 4.297
_cell_length_b 4.297
_cell_length_c 3.537
_cell_angle_alpha 90.00
_cell_angle_beta 90.00
_cell_angle_gamma 90.00
_symmetry_space_group_name_H-M 'P 4/m m m'
_symmetry_Int_Tables_number 123
_symmetry_space_group_name_Hall '-P 4 2'
loop_
_atom_site_label
_atom_site_fract_x
_atom_site_fract_y
_atom_site_fract_z
_atom_site_occupancy
Ti1 0.000 0.500 0.000 1
Nb1 0.000 0.000 0.500 1
Ge1 0.500 0.500 0.500 1
```

Calculated values
- Fermi-level density of states: 4.34 states/eV per cell
- Formation energy: -1.64 eV/f.u.
- Size of the total moment: 0.00 μB/f.u.

3.
A relaxed structure of Cs7RbNa6, computed with GGA-PBE.

The structure in CIF format:
```
data_Cs7RbNa6
_cell_length_a 12.9404
_cell_length_b 12.9404
_cell_length_c 24.6300
_cell_angle_alpha 90.00
_cell_angle_beta 90.00
_cell_angle_gamma 120.00
_symmetry_space_group_name_H-M 'R 3'
_symmetry_Int_Tables_number 146
_symmetry_space_group_name_Hall 'R 3'
loop_
_atom_site_label
_atom_site_fract_x
_atom_site_fract_y
_atom_site_fract_z
_atom_site_occupancy
Cs1 0.0000 0.0000 0.0000 1
Cs2 0.0118 0.7549 0.4244 1
Cs3 0.0877 0.4054 0.8904 1
Rb1 0.0000 0.0000 0.6415 1
Na1 0.0077 0.6093 0.2672 1
Na2 0.0122 0.4056 0.3812 1
```

Calculated values
- Fermi-level density of states: 30.96 states/eV per cell
- Formation energy: 0.85 eV/f.u.
- Size of the total moment: 0.00 μB/f.u.

4.
A relaxed structure of Pm3Al3Ga2, computed with GGA-PBE.

The structure in CIF format:
```
data_Pm3Al3Ga2
_cell_length_a 4.444
_cell_length_b 10.973
_cell_length_c 15.139
_cell_angle_alpha 90.00
_cell_angle_beta 90.00
_cell_angle_gamma 90.00
_symmetry_space_group_name_H-M 'C m c m'
_symmetry_Int_Tables_number 63
_symmetry_space_group_name_Hall '-C 2c 2'
loop_
_atom_site_label
_atom_site_fract_x
_atom_site_fract_y
_atom_site_fract_z
_atom_site_occupancy
Pm1 0.000 0.080 0.111 1
Pm2 0.000 0.360 0.250 1
Al1 0.000 0.354 0.750 1
Al2 0.000 0.381 0.038 1
Ga1 0.000 0.213 0.604 1
```

Calculated values
- Fermi-level density of states: 26.70 states/eV per cell
- Formation energy: -4.23 eV/f.u.
- Size of the total moment: 0.73 μB/f.u.

5.
A relaxed structure of CuNiBr2, computed with GGA-PBE.

The structure in CIF format:
```
data_CuNiBr2
_cell_length_a 5.650
_cell_length_b 5.650
_cell_length_c 11.238
_cell_angle_alpha 90.00
_cell_angle_beta 90.00
_cell_angle_gamma 90.00
_symmetry_space_group_name_H-M 'I -4 2 d'
_symmetry_Int_Tables_number 122
_symmetry_space_group_name_Hall 'I -4 2bw'
loop_
_atom_site_label
_atom_site_fract_x
_atom_site_fract_y
_atom_site_fract_z
_atom_site_occupancy
Cu1 0.000 0.000 0.000 1
Ni1 0.000 0.000 0.500 1
Br1 0.242 0.250 0.625 1
```

Calculated values
- Distance to the lowest polymorph of the same formula: 0.31 eV/f.u.
- Fermi-level density of states: 12.41 states/eV per cell
- ΔE_f (raw): -35 meV per atom
- Size of the total moment: 1.00 μB/f.u.

6.
A relaxed structure of Li3H, computed with GGA-PBE.

The structure in CIF format:
```
data_Li3H
_cell_length_a 3.874
_cell_length_b 3.874
_cell_length_c 3.874
_cell_angle_alpha 90.00
_cell_angle_beta 90.00
_cell_angle_gamma 90.00
_symmetry_space_group_name_H-M 'P m -3 m'
_symmetry_Int_Tables_number 221
_symmetry_space_group_name_Hall '-P 4 2 3'
loop_
_atom_site_label
_atom_site_fract_x
_atom_site_fract_y
_atom_site_fract_z
_atom_site_occupancy
Li1 0.000 0.000 0.500 1
H1 0.500 0.500 0.500 1
```

Calculated values
- Distance to the lowest polymorph of the same formula: 1.49 eV/f.u.
- Fermi-level density of states: 0.60 states/eV per cell
- Size of the total moment: 0.00 μB/f.u.

7.
A relaxed structure of NdGeBiO5, computed with GGA-PBE.

The structure in CIF format:
```
data_NdGeBiO5
_cell_length_a 6.814
_cell_length_b 9.852
_cell_length_c 7.851
_cell_angle_alpha 90.00
_cell_angle_beta 106.49
_cell_angle_gamma 90.00
_symmetry_space_group_name_H-M 'C 1 2/c 1'
_symmetry_Int_Tables_number 15
loop_
_symmetry_equiv_pos_as_xyz
'x,y,z'
'-x,-y,-z'
'-x,y,-z+1/2'
'x,-y,z+1/2'
'x+1/2,y+1/2,z'
'-x+1/2,-y+1/2,-z'
'-x+1/2,y+1/2,-z+1/2'
'x+1/2,-y+1/2,z+1/2'
loop_
_atom_site_label
_atom_site_fract_x
_atom_site_fract_y
_atom_site_fract_z
_atom_site_occupancy
Nd1 0.000 0.000 0.000 1
Ge1 0.000 0.316 0.250 1
Bi1 0.000 0.337 0.750 1
O1 0.000 0.123 0.750 1
O2 0.146 0.198 0.159 1
O3 0.148 0.418 0.426 1
```

Calculated values
- Fermi-level density of states: 0.00 states/eV per cell
- ΔE_f (raw): -2011 meV per atom
- Size of the total moment: 0.00 μB/f.u.

8.
A relaxed structure of Ac2SiAu7, computed with GGA-PBE.

The structure in CIF format:
```
data_Ac2SiAu7
_cell_length_a 4.707
_cell_length_b 4.707
_cell_length_c 10.687
_cell_angle_alpha 90.00
_cell_angle_beta 90.00
_cell_angle_gamma 90.00
_symmetry_space_group_name_H-M 'P -4 m 2'
_symmetry_Int_Tables_number 115
loop_
_symmetry_equiv_pos_as_xyz
'x,y,z'
'y,-x,-z'
'-x,-y,z'
'-y,x,-z'
'-x,y,z'
'-y,-x,-z'
'x,-y,z'
'y,x,-z'
loop_
_atom_site_label
_atom_site_fract_x
_atom_site_fract_y
_atom_site_fract_z
_atom_site_occupancy
Ac1 0.000 0.500 0.248 1
Si1 0.000 0.000 0.500 1
Au1 0.000 0.000 0.000 1
Au2 0.000 0.500 0.610 1
Au3 0.000 0.500 0.861 1
Au4 0.500 0.500 0.000 1
Au5 0.500 0.500 0.500 1
```

Calculated values
- Fermi-level density of states: 2.40 states/eV per cell
- ΔE_f (raw): -487 meV per atom
- Size of the total moment: 0.00 μB/f.u.

9.
A relaxed structure of Al2CdBi2, computed with GGA-PBE.

The structure in CIF format:
```
data_Al2CdBi2
_cell_length_a 8.851
_cell_length_b 8.851
_cell_length_c 3.443
_cell_angle_alpha 90.00
_cell_angle_beta 90.00
_cell_angle_gamma 90.00
_symmetry_space_group_name_H-M 'P 4/m b m'
_symmetry_Int_Tables_number 127
_symmetry_space_group_name_Hall '-P 4 2ab'
loop_
_atom_site_label
_atom_site_fract_x
_atom_site_fract_y
_atom_site_fract_z
_atom_site_occupancy
Al1 0.117 0.383 0.000 1
Cd1 0.000 0.000 0.500 1
Bi1 0.177 0.677 0.500 1
```

Calculated values
- Distance to the lowest polymorph of the same formula: 0.48 eV/f.u.
- Fermi-level density of states: 4.29 states/eV per cell
- Formation energy: 1.29 eV/f.u.
- Size of the total moment: 0.00 μB/f.u.

10.
A relaxed structure of Pu2Pa2Ga7, computed with GGA-PBE.

The structure in CIF format:
```
data_Pu2Pa2Ga7
_cell_length_a 10.699
_cell_length_b 8.655
_cell_length_c 5.529
_cell_angle_alpha 90.00
_cell_angle_beta 97.29
_cell_angle_gamma 90.00
_symmetry_space_group_name_H-M 'C 1 2/m 1'
_symmetry_Int_Tables_number 12
loop_
_symmetry_equiv_pos_as_xyz
'x,y,z'
'-x,-y,-z'
'-x,y,-z'
'x,-y,z'
'x+1/2,y+1/2,z'
'-x+1/2,-y+1/2,-z'
'-x+1/2,y+1/2,-z'
'x+1/2,-y+1/2,z'
loop_
_atom_site_label
_atom_site_fract_x
_atom_site_fract_y
_atom_site_fract_z
_atom_site_occupancy
Pu1 0.000 0.177 0.000 1
Pa1 0.228 0.500 0.667 1
Ga1 0.000 0.000 0.500 1
Ga2 0.042 0.500 0.227 1
Ga3 0.245 0.162 0.799 1
```

Calculated values
- Fermi-level density of states: 40.64 states/eV per cell
- Formation energy: -0.45 eV/f.u.
- Size of the total moment: 13.40 μB/f.u.

11.
A relaxed structure of CeHoEr2Hg4, computed with GGA-PBE.

The structure in CIF format:
```
data_CeHoEr2Hg4
_cell_length_a 5.2689
_cell_length_b 5.2689
_cell_length_c 25.9988
_cell_angle_alpha 90.00
_cell_angle_beta 90.00
_cell_angle_gamma 120.00
_symmetry_space_group_name_H-M 'R -3 m'
_symmetry_Int_Tables_number 166
_symmetry_space_group_name_Hall '-R 3 2"'
loop_
_atom_site_label
_atom_site_fract_x
_atom_site_fract_y
_atom_site_fract_z
_atom_site_occupancy
Ce1 0.0000 0.0000 0.0000 1
Ho1 0.0000 0.0000 0.5000 1
Er1 0.0000 0.0000 0.2501 1
Hg1 0.0000 0.0000 0.1272 1
Hg2 0.0000 0.0000 0.3781 1
```

Calculated values
- Fermi-level density of states: 42.01 states/eV per cell
- Formation energy: -3.36 eV/f.u.
- Size of the total moment: 1.67 μB/f.u.